Record 1
An optimized crystal structure of GaBSbTe2. Source: Alexandria, functional GGA-PBEsol.

Cell: 5.0055 5.0055 4.6024 Å, 90.00 90.00 90.00°
Positions (direct):
Ga  0.0000  0.0000  0.0000
B  0.5000  0.5000  0.5000
Sb  0.5000  0.5000  0.0000
Te  0.0000  0.5000  0.5000
Te  0.5000  0.0000  0.5000

Output
- formation energy (no corrections) (kcal/mol of atoms) = 13.6
- space group = P4/mmm (123)
- calculated total energy (eV per cell) = -19.02



Record 2
An optimized crystal structure of MnCdFeN2. Source: Alexandria, functional GGA-PBEsol.

Cell: 4.0888 4.0888 4.9247 Å, 90.00 90.00 90.00°
Positions (direct):
Mn  0.0000  0.0000  0.0000
Cd  0.0000  0.0000  0.5000
Fe  0.5000  0.5000  0.0000
N  0.0000  0.5000  0.5000
N  0.5000  0.0000  0.5000

Output
- formation energy (no corrections) (kcal/mol of atoms) = 55.3
- space group = P4/mmm (123)
- calculated total energy (eV per cell) = -24.99



Record 3
An optimized crystal structure of AgPCl. Source: Alexandria, functional GGA-PBEsol.

Cell: 5.8388 5.8388 5.8388 Å, 149.00 149.00 44.41°
Positions (direct):
Ag  0.0000  0.0000  0.0000
P  0.3691  0.3691  0.0000
Cl  0.6791  0.6791  0.0000

Output
- formation energy (no corrections) (kcal/mol of atoms) = 7.4
- space group = I4mm (107)
- excess energy over the best structure of this formula in the dataset (kJ per mole of atoms) = 0.0
- calculated total energy (eV per cell) = -10.14



Record 4
An optimized crystal structure of CaSnW3. Source: Alexandria, functional GGA-PBEsol.

Cell: 4.9329 4.9329 4.9329 Å, 90.00 90.00 90.00°
Positions (direct):
Ca  0.0000  0.0000  0.0000
Sn  0.5000  0.5000  0.5000
W  0.0000  0.5000  0.5000
W  0.5000  0.0000  0.5000
W  0.5000  0.5000  0.0000

Output
- E_form (eV/atom) = 2.372
- space group = Pm-3m (221)
- calculated total energy (eV per cell) = -35.96



Copy entry 2 word for word.
An optimized crystal structure of MnCdFeN2. Source: Alexandria, functional GGA-PBEsol.

Cell: 4.0888 4.0888 4.9247 Å, 90.00 90.00 90.00°
Positions (direct):
Mn  0.0000  0.0000  0.0000
Cd  0.0000  0.0000  0.5000
Fe  0.5000  0.5000  0.0000
N  0.0000  0.5000  0.5000
N  0.5000  0.0000  0.5000

Output
- formation energy (no corrections) (kcal/mol of atoms) = 55.3
- space group = P4/mmm (123)
- calculated total energy (eV per cell) = -24.99